# 1
This record from Alexandria via LeMat-Bulk describes a relaxed structure of Mn2CuMo. The functional is PBE-GGA.

Results
* total moment: 4.94 μB per formula unit
* energy relative to the elements: 0.286 eV/atom

abc: 4.698 4.698 4.477
angles: 101.02 101.02 33.64
Positions (direct):
1 Mn 0.000 0.000 0.000
2 Mn 0.746 0.746 0.268
3 Cu 0.491 0.491 0.489
4 Mo 0.243 0.243 0.762

=====

# 2
This record from Alexandria via LeMat-Bulk describes a relaxed structure of Mn2CuMo. The functional is PBE-GGA.

Results
* total moment: 1.03 μB per formula unit
* energy relative to the elements: 0.171 eV/atom

abc: 2.635 2.635 7.526
angles: 90.00 90.00 90.00
Positions (direct):
1 Mn 0.000 0.000 0.000
2 Mn 0.500 0.500 0.216
3 Cu 0.500 0.500 0.754
4 Mo 0.000 0.000 0.485

=====

# 3
This record from Alexandria via LeMat-Bulk describes a relaxed structure of Mn2CuMo. The functional is PBE-GGA.

Results
* total moment: 1.93 μB per formula unit
* energy relative to the elements: 0.247 eV/atom

abc: 4.504 4.504 4.504
angles: 131.14 131.14 71.60
Positions (direct):
1 Mn 0.000 0.000 0.000
2 Mn 0.750 0.250 0.500
3 Cu 0.500 0.500 0.000
4 Mo 0.250 0.750 0.500

=====

| no. | ρ (g/cm³) | polymorph energy (0 for the lowest one) (meV per atom) |
| --- | --- | --- |
| 1 | 8.34 | 124 |
| 2 | 8.56 | 9 |
| 3 | 8.82 | 85 |